Entry i
# HfZnPb | OQMD | PBE | optimized geometry
data_HfZnPb
_space_group_name_H-M_alt 'F -4 3 m'
_space_group_IT_number 216
_space_group_name_Hall 'F -4 2 3'
_cell_length_a 6.747
_cell_length_b 6.747
_cell_length_c 6.747
_cell_angle_alpha 90.00
_cell_angle_beta 90.00
_cell_angle_gamma 90.00
loop_
_atom_site_label
_atom_site_type_symbol
_atom_site_fract_x
_atom_site_fract_y
_atom_site_fract_z
_atom_site_occupancy
Hf1 Hf 0.000 0.000 0.000 1
Zn1 Zn 0.250 0.250 0.250 1
Pb1 Pb 0.250 0.250 0.750 1
# * volume: 25.60 A^3/atom



Entry ii
# HfZnPb | OQMD | PBE | optimized geometry
data_HfZnPb
_space_group_name_H-M_alt 'P 4/m m m'
_space_group_IT_number 123
_space_group_name_Hall '-P 4 2'
_cell_length_a 3.387
_cell_length_b 3.387
_cell_length_c 11.154
_cell_angle_alpha 90.00
_cell_angle_beta 90.00
_cell_angle_gamma 90.00
loop_
_atom_site_label
_atom_site_type_symbol
_atom_site_fract_x
_atom_site_fract_y
_atom_site_fract_z
_atom_site_occupancy
Hf1 Hf 0.000 0.000 0.000 1
Hf2 Hf 0.500 0.500 0.500 1
Zn1 Zn 0.000 0.000 0.358 1
Pb1 Pb 0.500 0.500 0.189 1
# * volume: 21.32 A^3/atom



Entry iii
# HfZnPb | OQMD | PBE | optimized geometry
data_HfZnPb
_space_group_name_H-M_alt 'P 4/n m m'
_space_group_IT_number 129
_cell_length_a 3.311
_cell_length_b 3.311
_cell_length_c 11.591
_cell_angle_alpha 90.00
_cell_angle_beta 90.00
_cell_angle_gamma 90.00
loop_
_space_group_symop_operation_xyz
'x,y,z'
'-x,-y,-z'
'-y+1/2,x,z'
'y+1/2,-x,-z'
'-x+1/2,-y+1/2,z'
'x+1/2,y+1/2,-z'
'y,-x+1/2,z'
'-y,x+1/2,-z'
'x+1/2,-y,-z'
'-x+1/2,y,z'
'-y,-x,-z'
'y,x,z'
'-x,y+1/2,-z'
'x,-y+1/2,z'
'y+1/2,x+1/2,-z'
'-y+1/2,-x+1/2,z'
loop_
_atom_site_label
_atom_site_type_symbol
_atom_site_fract_x
_atom_site_fract_y
_atom_site_fract_z
_atom_site_occupancy
Hf1 Hf 0.250 0.250 0.201 1
Zn1 Zn 0.250 0.250 0.943 1
Pb1 Pb 0.250 0.250 0.612 1
# * volume: 21.18 A^3/atom



Which of them is the least stable? Correct choice: entry i.



Entry i
# Hf2ZrPb2 | OQMD | PBE | optimized geometry
data_Hf2ZrPb2
_space_group_name_H-M_alt 'I 4/m m m'
_space_group_IT_number 139
_space_group_name_Hall '-I 4 2'
_cell_length_a 4.332
_cell_length_b 4.332
_cell_length_c 13.154
_cell_angle_alpha 90.00
_cell_angle_beta 90.00
_cell_angle_gamma 90.00
loop_
_atom_site_label
_atom_site_type_symbol
_atom_site_fract_x
_atom_site_fract_y
_atom_site_fract_z
_atom_site_occupancy
Hf1 Hf 0.000 0.500 0.250 1
Zr1 Zr 0.000 0.000 0.000 1
Pb1 Pb 0.000 0.000 0.395 1
# * volume: 24.69 A^3/atom



Entry ii
# Hf2ZrPb2 | OQMD | PBE | optimized geometry
data_Hf2ZrPb2
_space_group_name_H-M_alt 'I 4/m m m'
_space_group_IT_number 139
_space_group_name_Hall '-I 4 2'
_cell_length_a 4.252
_cell_length_b 4.252
_cell_length_c 14.424
_cell_angle_alpha 90.00
_cell_angle_beta 90.00
_cell_angle_gamma 90.00
loop_
_atom_site_label
_atom_site_type_symbol
_atom_site_fract_x
_atom_site_fract_y
_atom_site_fract_z
_atom_site_occupancy
Hf1 Hf 0.000 0.000 0.094 1
Zr1 Zr 0.000 0.000 0.500 1
Pb1 Pb 0.000 0.500 0.250 1
# * volume: 26.08 A^3/atom



Which of them is the least stable? Correct choice: entry ii.



Entry i
# HfPdPt | OQMD | PBE | optimized geometry
data_HfPdPt
_space_group_name_H-M_alt 'F -4 3 m'
_space_group_IT_number 216
_space_group_name_Hall 'F -4 2 3'
_cell_length_a 6.219
_cell_length_b 6.219
_cell_length_c 6.219
_cell_angle_alpha 90.00
_cell_angle_beta 90.00
_cell_angle_gamma 90.00
loop_
_atom_site_label
_atom_site_type_symbol
_atom_site_fract_x
_atom_site_fract_y
_atom_site_fract_z
_atom_site_occupancy
Hf1 Hf 0.000 0.000 0.000 1
Pd1 Pd 0.250 0.250 0.750 1
Pt1 Pt 0.250 0.250 0.250 1
# * volume: 20.04 A^3/atom



Entry ii
# HfPdPt | OQMD | PBE | optimized geometry
data_HfPdPt
_space_group_name_H-M_alt 'P 4/n m m'
_space_group_IT_number 129
_cell_length_a 3.442
_cell_length_b 3.442
_cell_length_c 8.747
_cell_angle_alpha 90.00
_cell_angle_beta 90.00
_cell_angle_gamma 90.00
loop_
_space_group_symop_operation_xyz
'x,y,z'
'-x,-y,-z'
'-y+1/2,x,z'
'y+1/2,-x,-z'
'-x+1/2,-y+1/2,z'
'x+1/2,y+1/2,-z'
'y,-x+1/2,z'
'-y,x+1/2,-z'
'x+1/2,-y,-z'
'-x+1/2,y,z'
'-y,-x,-z'
'y,x,z'
'-x,y+1/2,-z'
'x,-y+1/2,z'
'y+1/2,x+1/2,-z'
'-y+1/2,-x+1/2,z'
loop_
_atom_site_label
_atom_site_type_symbol
_atom_site_fract_x
_atom_site_fract_y
_atom_site_fract_z
_atom_site_occupancy
Hf1 Hf 0.250 0.250 0.246 1
Pd1 Pd 0.250 0.250 0.585 1
Pt1 Pt 0.250 0.250 0.906 1
# * volume: 17.27 A^3/atom



Entry iii
# HfPdPt | OQMD | PBE | optimized geometry
data_HfPdPt
_space_group_name_H-M_alt 'P n m a'
_space_group_IT_number 62
_cell_length_a 6.837
_cell_length_b 3.461
_cell_length_c 8.752
_cell_angle_alpha 90.00
_cell_angle_beta 90.00
_cell_angle_gamma 90.00
loop_
_space_group_symop_operation_xyz
'x,y,z'
'-x,-y,-z'
'-x+1/2,-y,z+1/2'
'x+1/2,y,-z+1/2'
'x+1/2,-y+1/2,-z+1/2'
'-x+1/2,y+1/2,z+1/2'
'-x,y+1/2,-z'
'x,-y+1/2,z'
loop_
_atom_site_label
_atom_site_type_symbol
_atom_site_fract_x
_atom_site_fract_y
_atom_site_fract_z
_atom_site_occupancy
Hf1 Hf 0.124 0.250 0.248 1
Pd1 Pd 0.126 0.250 0.585 1
Pt1 Pt 0.125 0.250 0.905 1
# * volume: 17.26 A^3/atom



Entry iv
# HfPdPt | OQMD | PBE | optimized geometry
data_HfPdPt
_space_group_name_H-M_alt 'P 4/m m m'
_space_group_IT_number 123
_space_group_name_Hall '-P 4 2'
_cell_length_a 3.440
_cell_length_b 3.440
_cell_length_c 8.734
_cell_angle_alpha 90.00
_cell_angle_beta 90.00
_cell_angle_gamma 90.00
loop_
_atom_site_label
_atom_site_type_symbol
_atom_site_fract_x
_atom_site_fract_y
_atom_site_fract_z
_atom_site_occupancy
Hf1 Hf 0.000 0.000 0.000 1
Hf2 Hf 0.500 0.500 0.500 1
Pd1 Pd 0.000 0.000 0.341 1
Pt1 Pt 0.500 0.500 0.162 1
# * volume: 17.22 A^3/atom



Which of them is the least stable? Correct choice: entry i.



Entry i
# HfPdPt | OQMD | PBE | optimized geometry
data_HfPdPt
_space_group_name_H-M_alt 'F -4 3 m'
_space_group_IT_number 216
_space_group_name_Hall 'F -4 2 3'
_cell_length_a 6.233
_cell_length_b 6.233
_cell_length_c 6.233
_cell_angle_alpha 90.00
_cell_angle_beta 90.00
_cell_angle_gamma 90.00
loop_
_atom_site_label
_atom_site_type_symbol
_atom_site_fract_x
_atom_site_fract_y
_atom_site_fract_z
_atom_site_occupancy
Hf1 Hf 0.000 0.000 0.000 1
Pd1 Pd 0.000 0.000 0.500 1
Pt1 Pt 0.250 0.250 0.250 1
# * volume: 20.18 A^3/atom



Entry ii
# HfPdPt | OQMD | PBE | optimized geometry
data_HfPdPt
_space_group_name_H-M_alt 'I 4 m m'
_space_group_IT_number 107
_space_group_name_Hall 'I 4 -2'
_cell_length_a 3.445
_cell_length_b 3.445
_cell_length_c 8.725
_cell_angle_alpha 90.00
_cell_angle_beta 90.00
_cell_angle_gamma 90.00
loop_
_atom_site_label
_atom_site_type_symbol
_atom_site_fract_x
_atom_site_fract_y
_atom_site_fract_z
_atom_site_occupancy
Hf1 Hf 0.000 0.000 0.000 1
Pd1 Pd 0.000 0.000 0.334 1
Pt1 Pt 0.000 0.000 0.655 1
# * volume: 17.26 A^3/atom



Which of them is the least stable? Correct choice: entry i.



Entry i
# Hf3Sb4Pd4 | OQMD | PBE | optimized geometry
data_Hf3Sb4Pd4
_space_group_name_H-M_alt 'P 1 m 1'
_space_group_IT_number 6
_cell_length_a 6.811
_cell_length_b 4.219
_cell_length_c 7.983
_cell_angle_alpha 90.00
_cell_angle_beta 91.36
_cell_angle_gamma 90.00
loop_
_space_group_symop_operation_xyz
'x,y,z'
'x,-y,z'
loop_
_atom_site_label
_atom_site_type_symbol
_atom_site_fract_x
_atom_site_fract_y
_atom_site_fract_z
_atom_site_occupancy
Hf1 Hf 0.000 0.000 0.000 1
Hf2 Hf 0.076 0.500 0.402 1
Hf3 Hf 0.516 0.000 0.909 1
Sb1 Sb 0.289 0.500 0.084 1
Sb2 Sb 0.330 0.000 0.590 1
Sb3 Sb 0.763 0.500 0.790 1
Sb4 Sb 0.785 0.000 0.322 1
Pd1 Pd 0.168 0.500 0.765 1
Pd2 Pd 0.384 0.000 0.268 1
Pd3 Pd 0.709 0.500 0.126 1
Pd4 Pd 0.926 0.000 0.637 1
# * volume: 20.85 A^3/atom



Entry ii
# Hf3Sb4Pd4 | OQMD | PBE | optimized geometry
data_Hf3Sb4Pd4
_space_group_name_H-M_alt 'I -4 2 m'
_space_group_IT_number 121
_space_group_name_Hall 'I -4 2'
_cell_length_a 6.321
_cell_length_b 6.321
_cell_length_c 12.505
_cell_angle_alpha 90.00
_cell_angle_beta 90.00
_cell_angle_gamma 90.00
loop_
_atom_site_label
_atom_site_type_symbol
_atom_site_fract_x
_atom_site_fract_y
_atom_site_fract_z
_atom_site_occupancy
Hf1 Hf 0.000 0.000 0.000 1
Hf2 Hf 0.000 0.500 0.250 1
Sb1 Sb 0.000 0.000 0.261 1
Sb2 Sb 0.000 0.500 0.000 1
Pd1 Pd 0.240 0.240 0.129 1
# * volume: 22.71 A^3/atom



Which of them is the least stable? Correct choice: entry i.



Entry i
# HfZr2Sb4Pd4 | OQMD | PBE | optimized geometry
data_HfZr2Sb4Pd4
_space_group_name_H-M_alt 'P 1 m 1'
_space_group_IT_number 6
_cell_length_a 6.856
_cell_length_b 4.195
_cell_length_c 8.048
_cell_angle_alpha 90.00
_cell_angle_beta 90.61
_cell_angle_gamma 90.00
loop_
_space_group_symop_operation_xyz
'x,y,z'
'x,-y,z'
loop_
_atom_site_label
_atom_site_type_symbol
_atom_site_fract_x
_atom_site_fract_y
_atom_site_fract_z
_atom_site_occupancy
Hf1 Hf 0.000 0.000 0.000 1
Zr1 Zr 0.437 0.500 0.500 1
Zr2 Zr 0.924 0.500 0.607 1
Sb1 Sb 0.213 0.000 0.679 1
Sb2 Sb 0.254 0.500 0.183 1
Sb3 Sb 0.700 0.000 0.400 1
Sb4 Sb 0.707 0.500 0.926 1
Pd1 Pd 0.100 0.000 0.358 1
Pd2 Pd 0.310 0.500 0.864 1
Pd3 Pd 0.620 0.000 0.735 1
Pd4 Pd 0.852 0.500 0.235 1
# * volume: 21.04 A^3/atom



Entry ii
# HfZr2Sb4Pd4 | OQMD | PBE | optimized geometry
data_HfZr2Sb4Pd4
_space_group_name_H-M_alt 'I -4 2 m'
_space_group_IT_number 121
_space_group_name_Hall 'I -4 2'
_cell_length_a 6.358
_cell_length_b 6.358
_cell_length_c 12.544
_cell_angle_alpha 90.00
_cell_angle_beta 90.00
_cell_angle_gamma 90.00
loop_
_atom_site_label
_atom_site_type_symbol
_atom_site_fract_x
_atom_site_fract_y
_atom_site_fract_z
_atom_site_occupancy
Hf1 Hf 0.000 0.000 0.000 1
Zr1 Zr 0.000 0.500 0.250 1
Sb1 Sb 0.000 0.000 0.261 1
Sb2 Sb 0.000 0.500 0.000 1
Pd1 Pd 0.239 0.239 0.873 1
# * volume: 23.05 A^3/atom



Which of them is the least stable? Correct choice: entry i.